Model a:
Entry from Alexandria: a relaxed NbAsHSe2 crystal (PBE).

```
NbAsHSe2
1.0
5.0353 0.0000 0.0000
0.0000 5.0353 0.0000
0.0000 0.0000 5.0739
Nb As H Se
1 1 1 2
direct
0.0000 0.0000 0.0000
0.0000 0.0000 0.5000
0.5000 0.5000 0.5000
0.0000 0.5000 0.0000
0.5000 0.0000 0.0000
```

Summary:
Its magnetic moment is 0.36 μB per cell.

Model b:
Entry from Alexandria: a relaxed NbAsHSe2 crystal (PBE).

```
NbAsHSe2
1.0
4.7858 0.0000 0.0000
0.0000 4.7858 0.0000
0.0000 0.0000 3.4066
Nb As H Se
1 1 1 2
direct
0.0000 0.0000 0.0000
0.5000 0.5000 0.0000
0.5000 0.5000 0.5000
0.0000 0.5000 0.5000
0.5000 0.0000 0.5000
```

Summary:
Its magnetic moment is 0.00 μB per cell.

The least stable of them is model a.